# 1
## CuAsAu (GGA-PBE)

Data for a geometry-optimized CuAsAu structure.

Cell: 6.3937 6.3956 2.8692 Å, 77.00 77.07 25.93°
Positions (direct):
As  0.9805  0.9805  0.0195
Au  0.6830  0.6830  0.3170
Cu  0.3365  0.3365  0.6635

Values from the calculation:
- ΔE to the lowest computed polymorph (meV per atom) = 0
- raw total energy (eV per atom) = -3.901

***

# 2
## CuAs2Au (GGA-PBE)

Data for a geometry-optimized CuAs2Au structure.

Cell: 4.6198 4.6198 3.2756 Å, 90.00 90.00 90.00°
Positions (direct):
As  0.0000  0.0000  0.0000
As  0.5000  0.5000  0.0000
Au  0.5000  0.0000  0.5000
Cu  0.0000  0.5000  0.5000

Values from the calculation:
- ΔE to the lowest computed polymorph (meV per atom) = 204
- raw total energy (eV per atom) = -3.853

***

# 3
## CuAs2Au (GGA-PBE)

Data for a geometry-optimized CuAs2Au structure.

Cell: 6.1971 6.1971 6.1971 Å, 35.73 35.73 35.73°
Positions (direct):
As  0.0107  0.0107  0.0107
As  0.4893  0.4893  0.4893
Au  0.2500  0.2500  0.2500
Cu  0.7500  0.7500  0.7500

Values from the calculation:
- ΔE to the lowest computed polymorph (meV per atom) = 45
- raw total energy (eV per atom) = -4.012

***

# 4
## Cu2AsAu (GGA-PBE)

Data for a geometry-optimized Cu2AsAu structure.

Cell: 4.9131 4.9131 4.9131 Å, 133.77 133.72 67.49°
Positions (direct):
As  0.5001  0.5001  0.0000
Au  0.2499  0.7499  0.5000
Cu  0.9998  0.9998  0.0000
Cu  0.7502  0.2502  0.5000

Values from the calculation:
- raw total energy (eV per atom) = -3.924

***

# 5
## CuAsAu2 (GGA-PBE)

Data for a geometry-optimized CuAsAu2 structure.

Cell: 2.8454 2.8454 8.4426 Å, 90.00 90.00 90.00°
Positions (direct):
As  0.5000  0.5000  0.7500
Au  0.0000  0.0000  0.0287
Au  0.0000  0.0000  0.4713
Cu  0.5000  0.5000  0.2500

Values from the calculation:
- raw total energy (eV per atom) = -3.731

***

# 6
## Cu2AsAu (GGA-PBE)

Data for a geometry-optimized Cu2AsAu structure.

Cell: 5.0758 5.0758 4.5464 Å, 77.83 77.83 32.51°
Positions (direct):
As  0.4750  0.4750  0.5681
Au  0.2747  0.2747  0.1828
Cu  0.0246  0.0246  0.0419
Cu  0.7257  0.7257  0.7071

Values from the calculation:
- raw total energy (eV per atom) = -3.951

***

# 7
## CuAs2Au (GGA-PBE)

Data for a geometry-optimized CuAs2Au structure.

Cell: 5.1126 5.1126 5.1126 Å, 133.12 133.12 68.47°
Positions (direct):
As  0.0000  0.0000  0.0000
As  0.5000  0.5000  0.0000
Au  0.2500  0.7500  0.5000
Cu  0.7500  0.2500  0.5000

Values from the calculation:
- ΔE to the lowest computed polymorph (meV per atom) = 161
- raw total energy (eV per atom) = -3.896

***

# 8
## Cu2AsAu (GGA-PBE)

Data for a geometry-optimized Cu2AsAu structure.

Cell: 2.9312 2.9312 8.4138 Å, 79.97 79.97 60.00°
Positions (direct):
Cu  0.0797  0.0797  0.7609
Cu  0.2536  0.2536  0.2392
As  0.6667  0.6667  0.0000
Au  0.5000  0.5000  0.4999

Values from the calculation:
- raw total energy (eV per atom) = -3.939